Record 1
Here is a relaxed GaPPtO crystal from OQMD via LeMat-Bulk. Energies are from GGA-PBE.

The structure in extended XYZ format:
```
8
Lattice="4.073 0.000 0.000 0.000 4.073 0.000 0.000 0.000 7.939" Properties=species:S:1:pos:R:3 pbc="T T T"
Ga 1.018 3.054 0.000
Ga 3.054 1.018 0.000
P 1.018 1.018 1.407
P 3.054 3.054 6.532
Pt 1.018 1.018 4.506
Pt 3.054 3.054 3.434
O 1.018 3.054 3.970
O 3.054 1.018 3.970
```

total energy = -4.674 eV/atom
distance to the lowest polymorph of the same formula = 809 meV/atom
total moment = 0.0013 μB/atom

Record 2
Here is a relaxed GaPPtO crystal from OQMD via LeMat-Bulk. Energies are from GGA-PBE.

The structure in extended XYZ format:
```
8
Lattice="3.782 0.000 0.000 0.000 3.782 0.000 0.000 0.000 8.798" Properties=species:S:1:pos:R:3 pbc="T T T"
Ga 0.945 0.945 0.844
Ga 2.836 2.836 7.954
P 0.945 0.945 5.932
P 2.836 2.836 2.866
Pt 0.945 2.836 4.399
Pt 2.836 0.945 4.399
O 0.945 2.836 0.000
O 2.836 0.945 0.000
```

total energy = -5.421 eV/atom
distance to the lowest polymorph of the same formula = 62 meV/atom
total moment = 0.0012 μB/atom

Record 3
Here is a relaxed GaRePO crystal from OQMD via LeMat-Bulk. Energies are from GGA-PBE.

The structure in extended XYZ format:
```
8
Lattice="3.736 0.000 0.000 0.000 5.551 0.000 0.000 0.000 5.692" Properties=species:S:1:pos:R:3 pbc="T T T"
Ga 0.000 1.307 0.000
Ga 0.000 4.244 2.846
Re 1.868 1.615 2.118
Re 1.868 3.935 4.964
P 1.868 0.572 4.195
P 1.868 4.979 1.349
O 0.000 2.276 2.277
O 0.000 3.275 5.123
```

total energy = -6.624 eV/atom
distance to the lowest polymorph of the same formula = 273 meV/atom
total moment = 0.0003 μB/atom

Record 4
Here is a relaxed GaRePO crystal from OQMD via LeMat-Bulk. Energies are from GGA-PBE.

The structure in extended XYZ format:
```
8
Lattice="3.030 0.000 0.000 0.000 6.424 0.000 0.000 0.000 5.765" Properties=species:S:1:pos:R:3 pbc="T T T"
Ga 0.000 0.480 0.000
Ga 0.000 5.944 2.882
Re 1.515 3.132 3.631
Re 1.515 3.292 0.748
P 0.000 1.955 2.248
P 0.000 4.469 5.131
O 1.515 1.642 5.135
O 1.515 4.781 2.253
```

total energy = -6.897 eV/atom
distance to the lowest polymorph of the same formula = 0 meV/atom
total moment = 0.0003 μB/atom

Record 5
Here is a relaxed GaRePO crystal from OQMD via LeMat-Bulk. Energies are from GGA-PBE.

The structure in extended XYZ format:
```
8
Lattice="3.856 0.000 0.000 0.000 3.856 0.000 0.000 0.000 7.621" Properties=species:S:1:pos:R:3 pbc="T T T"
Ga 0.964 0.964 0.739
Ga 2.892 2.892 6.882
Re 0.964 2.892 3.811
Re 2.892 0.964 3.811
P 0.964 0.964 5.273
P 2.892 2.892 2.348
O 0.964 2.892 0.000
O 2.892 0.964 0.000
```

total energy = -6.846 eV/atom
distance to the lowest polymorph of the same formula = 51 meV/atom
total moment = 0.0215 μB/atom

Record 6
Here is a relaxed GaRePO crystal from OQMD via LeMat-Bulk. Energies are from GGA-PBE.

The structure in extended XYZ format:
```
8
Lattice="3.320 0.000 0.000 0.000 3.320 0.000 0.000 0.000 10.256" Properties=species:S:1:pos:R:3 pbc="T T T"
Ga 0.830 2.490 0.000
Ga 2.490 0.830 0.000
Re 0.830 0.830 3.807
Re 2.490 2.490 6.449
P 0.830 0.830 7.673
P 2.490 2.490 2.583
O 0.830 2.490 5.128
O 2.490 0.830 5.128
```

total energy = -6.379 eV/atom
distance to the lowest polymorph of the same formula = 518 meV/atom
total moment = 0.0016 μB/atom

Record 7
Here is a relaxed SmGaPO crystal from OQMD via LeMat-Bulk. Energies are from GGA-PBE.

The structure in extended XYZ format:
```
8
Lattice="4.656 0.000 0.000 0.000 5.882 0.000 0.000 0.000 5.743" Properties=species:S:1:pos:R:3 pbc="T T T"
Sm 0.000 1.468 0.000
Sm 0.000 4.414 2.871
Ga 2.328 0.993 3.322
Ga 2.328 4.889 0.451
P 0.000 1.530 2.877
P 0.000 4.351 0.006
O 2.328 0.932 5.464
O 2.328 4.949 2.593
```

total energy = -5.999 eV/atom
distance to the lowest polymorph of the same formula = 137 meV/atom
total moment = 0.0003 μB/atom

Record 8
Here is a relaxed SmGaPO crystal from OQMD via LeMat-Bulk. Energies are from GGA-PBE.

The structure in extended XYZ format:
```
8
Lattice="4.285 0.000 0.000 0.000 4.285 0.000 0.000 0.000 9.337" Properties=species:S:1:pos:R:3 pbc="T T T"
Sm 1.071 3.214 0.000
Sm 3.214 1.071 0.000
Ga 1.071 1.071 4.143
Ga 3.214 3.214 5.194
P 1.071 1.071 1.784
P 3.214 3.214 7.553
O 1.071 3.214 4.669
O 3.214 1.071 4.669
```

total energy = -5.180 eV/atom
distance to the lowest polymorph of the same formula = 956 meV/atom
total moment = 0.0004 μB/atom